# Hg2GeTeIr GGA-PBE optimized geometry
# Formation energy (no corrections), eV per formula unit: 5.42
data_Hg2GeTeIr
_symmetry_space_group_name_H-M 'P 4/m m m'
_symmetry_Int_Tables_number 123
_symmetry_space_group_name_Hall '-P 4 2'
_cell_length_a 5.5812
_cell_length_b 5.5812
_cell_length_c 4.9038
_cell_angle_alpha 90.00
_cell_angle_beta 90.00
_cell_angle_gamma 90.00
loop_
_atom_site_label
_atom_site_type_symbol
_atom_site_fract_x
_atom_site_fract_y
_atom_site_fract_z
Hg1 Hg 0.0000 0.5000 0.0000
Ge1 Ge 0.0000 0.0000 0.5000
Te1 Te 0.5000 0.5000 0.0000
Ir1 Ir 0.5000 0.5000 0.5000



# Y2Al2Cu GGA-PBE optimized geometry
# ΔE_f, eV per atom: 0.499
data_Y2Al2Cu
_symmetry_space_group_name_H-M 'I 4/m m m'
_symmetry_Int_Tables_number 139
_symmetry_space_group_name_Hall '-I 4 2'
_cell_length_a 4.4643
_cell_length_b 4.4643
_cell_length_c 12.9560
_cell_angle_alpha 90.00
_cell_angle_beta 90.00
_cell_angle_gamma 90.00
loop_
_atom_site_label
_atom_site_type_symbol
_atom_site_fract_x
_atom_site_fract_y
_atom_site_fract_z
Y1 Y 0.0000 0.5000 0.2500
Al1 Al 0.0000 0.0000 0.0929
Cu1 Cu 0.0000 0.0000 0.5000



# RbSc2MnTe4 GGA-PBE optimized geometry
# Formation energy (no corrections), eV per formula unit: -7.31
data_RbSc2MnTe4
_symmetry_space_group_name_H-M 'C m c m'
_symmetry_Int_Tables_number 63
_symmetry_space_group_name_Hall '-C 2c 2'
_cell_length_a 4.2857
_cell_length_b 15.0770
_cell_length_c 15.0865
_cell_angle_alpha 90.00
_cell_angle_beta 90.00
_cell_angle_gamma 90.00
loop_
_atom_site_label
_atom_site_type_symbol
_atom_site_fract_x
_atom_site_fract_y
_atom_site_fract_z
Rb1 Rb 0.0000 0.1190 0.2500
Sc1 Sc 0.0000 0.3732 0.0647
Mn1 Mn 0.0000 0.1666 0.7500
Te1 Te 0.0000 0.0000 0.0000
Te2 Te 0.0000 0.2586 0.6013
Te3 Te 0.0000 0.4383 0.2500